SmDyTm2P4: optimized geometry, PBE.

CIF file:
```
data_SmDyTm2P4
_chemical_formula_sum 'Sm1 Dy1 Tm2 P4'
_cell_length_a 4.005
_cell_length_b 6.931
_cell_length_c 6.934
_cell_angle_alpha 70.52
_cell_angle_beta 90.00
_cell_angle_gamma 90.00
_symmetry_space_group_name_H-M 'P 1'
_symmetry_Int_Tables_number 1
loop_
_symmetry_equiv_pos_as_xyz
'x,y,z'
loop_
_atom_site_label
_atom_site_type_symbol
_atom_site_fract_x
_atom_site_fract_y
_atom_site_fract_z
Sm1 Sm 0.500 0.500 0.000
Dy1 Dy 0.000 0.500 0.500
Tm1 Tm 0.000 0.000 0.000
Tm2 Tm 0.500 0.000 0.500
P1 P 0.000 0.758 0.745
P2 P 0.000 0.242 0.255
P3 P 0.500 0.756 0.251
P4 P 0.500 0.244 0.749
```

calculated total energy	-6.582	eV/atom
magnetization	0.000	μB/atom
calculated formation energy	-1.59	eV per atom

SmDyU2P4: optimized geometry, PBE.

CIF file:
```
data_SmDyU2P4
_chemical_formula_sum 'Sm1 Dy1 U2 P4'
_cell_length_a 3.971
_cell_length_b 6.876
_cell_length_c 6.997
_cell_angle_alpha 109.14
_cell_angle_beta 90.00
_cell_angle_gamma 90.00
_symmetry_space_group_name_H-M 'P 1'
_symmetry_Int_Tables_number 1
loop_
_symmetry_equiv_pos_as_xyz
'x,y,z'
loop_
_atom_site_label
_atom_site_type_symbol
_atom_site_fract_x
_atom_site_fract_y
_atom_site_fract_z
Sm1 Sm 0.500 0.500 0.000
Dy1 Dy 0.000 0.000 0.000
U1 U 0.500 0.000 0.500
U2 U 0.000 0.500 0.500
P1 P 0.500 0.250 0.258
P2 P 0.500 0.750 0.742
P3 P 0.000 0.244 0.740
P4 P 0.000 0.756 0.260
```

calculated total energy	-7.973	eV/atom
magnetization	0.570	μB/atom
calculated formation energy	-1.28	eV per atom

- What is the calculated total energy in the second record?
  -7.973 eV/atom